[1]
The following is a DFT calculation (PBE) of a relaxed structure of TbPrZn2As2O2.

Calculated values
**Total magnetization**: 0.00 μB/f.u.

a b c (Å): 4.0127 4.0127 8.9763
angles (deg): 90.00 90.00 90.00
Closest atoms and distances in Å follow each position.
Fractional positions:
Tb: 0.0000 0.0000 0.0000  4 O 2.26
Pr: 0.5000 0.5000 0.2568  4 O 2.37
Zn: 0.0000 0.5000 0.6249  4 As 2.56-2.58, 4 Zn 2.84
Zn: 0.5000 0.0000 0.6249  4 As 2.56-2.58, 4 Zn 2.84
As: 0.0000 0.0000 0.4449  4 Zn 2.58
As: 0.5000 0.5000 0.8023  4 Zn 2.56
O: 0.0000 0.5000 0.1168  2 Tb 2.26, 2 Pr 2.37
O: 0.5000 0.0000 0.1168  2 Tb 2.26, 2 Pr 2.37

***

[2]
The following is a DFT calculation (PBE) of a relaxed structure of AlCdFeAg.

Calculated values
**Polymorph energy (0 for the lowest one)**: 0 meV/atom
**Total magnetization**: 2.18 μB/f.u.

a b c (Å): 6.3827 6.3827 6.3827
angles (deg): 90.00 90.00 90.00
Closest atoms and distances in Å follow each position.
Fractional positions:
Al: 0.0000 0.0000 0.0000  4 Fe 2.76, 4 Ag 2.76
Al: 0.0000 0.5000 0.5000  4 Fe 2.76, 4 Ag 2.76
Al: 0.5000 0.0000 0.5000  4 Fe 2.76, 4 Ag 2.76
Al: 0.5000 0.5000 0.0000  4 Fe 2.76, 4 Ag 2.76
Cd: 0.0000 0.0000 0.5000  4 Fe 2.76, 4 Ag 2.76
Cd: 0.0000 0.5000 0.0000  4 Fe 2.76, 4 Ag 2.76
Cd: 0.5000 0.0000 0.0000  4 Fe 2.76, 4 Ag 2.76
Cd: 0.5000 0.5000 0.5000  4 Fe 2.76, 4 Ag 2.76
Fe: 0.2500 0.2500 0.2500  4 Cd 2.76, 4 Al 2.76
Fe: 0.2500 0.7500 0.7500  4 Cd 2.76, 4 Al 2.76
Fe: 0.7500 0.2500 0.7500  4 Cd 2.76, 4 Al 2.76
Fe: 0.7500 0.7500 0.2500  4 Cd 2.76, 4 Al 2.76
Ag: 0.2500 0.2500 0.7500  4 Cd 2.76, 4 Al 2.76
Ag: 0.2500 0.7500 0.2500  4 Cd 2.76, 4 Al 2.76
Ag: 0.7500 0.2500 0.2500  4 Cd 2.76, 4 Al 2.76
Ag: 0.7500 0.7500 0.7500  4 Cd 2.76, 4 Al 2.76

***

[3]
The following is a DFT calculation (PBE) of a relaxed structure of Gd4SnC2Br.

Calculated values
**Total magnetization**: 0.00 μB/f.u.

a b c (Å): 3.7006 3.7006 15.1304
angles (deg): 90.00 90.00 120.00
Closest atoms and distances in Å follow each position.
Fractional positions:
Gd: 0.0000 0.0000 0.1529  3 C 2.46
Gd: 0.0000 0.0000 0.8471  3 C 2.46
Gd: 0.6667 0.3333 0.3300  3 C 2.58
Gd: 0.6667 0.3333 0.6700  3 C 2.58
Sn: 0.0000 0.0000 0.5000  6 Gd 3.34, 6 Sn 3.70
C: 0.3333 0.6667 0.2340  6 Gd 2.46-2.58
C: 0.3333 0.6667 0.7660  6 Gd 2.46-2.58
Br: 0.6667 0.3333 0.0000  6 Gd 3.15

***

[4]
The following is a DFT calculation (PBE) of a relaxed structure of NdGdGe.

Calculated values
**Total magnetization**: 0.18 μB/f.u.

a b c (Å): 5.2873 5.2873 6.3952
angles (deg): 90.00 90.00 120.00
Closest atoms and distances in Å follow each position.
Fractional positions:
Nd: 0.0000 0.0000 0.0000  2 Nd 3.20, 6 Ge 3.45, 6 Gd 3.45
Nd: 0.0000 0.0000 0.5000  2 Nd 3.20, 6 Ge 3.45, 6 Gd 3.45
Gd: 0.3333 0.6667 0.2500  5 Ge 3.05-3.20
Gd: 0.6667 0.3333 0.7500  5 Ge 3.05-3.20
Ge: 0.3333 0.6667 0.7500  5 Gd 3.05-3.20
Ge: 0.6667 0.3333 0.2500  5 Gd 3.05-3.20

***

[5]
The following is a DFT calculation (PBE) of a relaxed structure of CuBi5W3.

Calculated values
**Total magnetization**: 0.00 μB/f.u.

a b c (Å): 5.6405 5.6405 8.6947
angles (deg): 90.00 90.00 120.00
Closest atoms and distances in Å follow each position.
Fractional positions:
Cu: 0.0000 0.0000 0.0000  12 Bi 3.72
Bi: 0.0000 0.0000 0.5000  6 W 2.82
Bi: 0.3333 0.6667 0.2079  3 W 3.02, 3 Bi 3.26
Bi: 0.3333 0.6667 0.7921  3 W 3.02, 3 Bi 3.26
Bi: 0.6667 0.3333 0.2079  3 W 3.02, 3 Bi 3.26
Bi: 0.6667 0.3333 0.7921  3 W 3.02, 3 Bi 3.26
W: 0.0000 0.5000 0.5000  4 W 2.82, 6 Bi 2.82-3.02
W: 0.5000 0.0000 0.5000  4 W 2.82, 6 Bi 2.82-3.02
W: 0.5000 0.5000 0.5000  4 W 2.82, 6 Bi 2.82-3.02

***

[6]
The following is a DFT calculation (PBE) of a relaxed structure of Zr2IrPd.

Calculated values
**Total magnetization**: 0.01 μB/f.u.
**Energy of formation from the pure elements**: -3.10 eV per formula unit

a b c (Å): 4.4056 3.3027 10.3760
angles (deg): 90.00 90.00 90.00
Closest atoms and distances in Å follow each position.
Fractional positions:
Zr: 0.0000 0.0000 0.0000  3 Pd 2.79-2.91, 4 Ir 2.80
Zr: 0.0000 0.5000 0.5000  3 Pd 2.79-2.91, 4 Ir 2.80
Zr: 0.5000 0.0000 0.2846  3 Ir 2.74-2.95, 4 Pd 2.81
Zr: 0.5000 0.5000 0.7846  3 Ir 2.74-2.95, 4 Pd 2.81
Ir: 0.5000 0.0000 0.5487  7 Zr 2.74-2.95, 2 Pd 2.90
Ir: 0.5000 0.5000 0.0487  7 Zr 2.74-2.95, 2 Pd 2.90
Pd: 0.0000 0.0000 0.7307  7 Zr 2.79-2.91, 2 Ir 2.90
Pd: 0.0000 0.5000 0.2307  7 Zr 2.79-2.91, 2 Ir 2.90

***

[7]
The following is a DFT calculation (PBE) of a relaxed structure of Li4AgGe2Au.

a b c (Å): 4.4099 4.4099 6.2269
angles (deg): 90.00 90.00 90.00
Closest atoms and distances in Å follow each position.
Fractional positions:
Li: 0.0000 0.0000 0.0000  4 Ge 2.70, 4 Li 2.70
Li: 0.0000 0.5000 0.7487  4 Li 2.69-2.70, 2 Au 2.69, 2 Ag 2.70
Li: 0.5000 0.0000 0.2513  4 Li 2.69-2.70, 2 Au 2.69, 2 Ag 2.70
Li: 0.5000 0.5000 0.5000  4 Li 2.69, 4 Ge 2.70
Ag: 0.5000 0.5000 0.0000  4 Ge 2.70, 4 Li 2.70
Ge: 0.0000 0.5000 0.2511  4 Li 2.70, 2 Au 2.70, 2 Ag 2.70
Ge: 0.5000 0.0000 0.7489  4 Li 2.70, 2 Au 2.70, 2 Ag 2.70
Au: 0.0000 0.0000 0.5000  4 Li 2.69, 4 Ge 2.70

***

[8]
The following is a DFT calculation (PBE) of a relaxed structure of Ba2MgOsO6.

Calculated values
**Total magnetization**: 2.00 μB/f.u.

a b c (Å): 5.7123 5.7123 5.7123
angles (deg): 60.00 60.00 60.00
Closest atoms and distances in Å follow each position.
Fractional positions:
Ba: 0.2500 0.2500 0.2500  12 O 2.86
Ba: 0.7500 0.7500 0.7500  12 O 2.86
Mg: 0.0000 0.0000 0.0000  6 O 2.09
Os: 0.5000 0.5000 0.5000  6 O 1.95
O: 0.2587 0.2587 0.7413  1 Os 1.95, 1 Mg 2.09
O: 0.2587 0.7413 0.2587  1 Os 1.95, 1 Mg 2.09
O: 0.2587 0.7413 0.7413  1 Os 1.95, 1 Mg 2.09
O: 0.7413 0.2587 0.2587  1 Os 1.95, 1 Mg 2.09
O: 0.7413 0.2587 0.7413  1 Os 1.95, 1 Mg 2.09
O: 0.7413 0.7413 0.2587  1 Os 1.95, 1 Mg 2.09

***

[9]
The following is a DFT calculation (PBE) of a relaxed structure of Gd2YAl3Cu2Ni.

Calculated values
**Total magnetization**: 0.00 μB/f.u.

a b c (Å): 4.0061 7.0596 7.0596
angles (deg): 120.43 90.00 90.00
Closest atoms and distances in Å follow each position.
Fractional positions:
Gd: 0.0000 0.2060 0.7940  1 Ni 2.91, 4 Cu 2.91-2.93, 6 Al 3.22-3.23
Gd: 0.0000 0.7940 0.2060  1 Ni 2.91, 4 Cu 2.91-2.93, 6 Al 3.22-3.23
Y: 0.0000 0.6178 0.6178  1 Ni 2.88, 4 Cu 2.92, 6 Al 3.20-3.22
Al: 0.5000 0.2082 0.4358  2 Ni 2.57, 2 Cu 2.77-2.81, 2 Al 2.79
Al: 0.5000 0.4358 0.2082  2 Ni 2.57, 2 Cu 2.77-2.81, 2 Al 2.79
Al: 0.5000 0.9771 0.9771  2 Ni 2.57, 2 Cu 2.79, 2 Al 2.79
Cu: 0.5000 0.5401 0.8727  3 Al 2.77-2.81, 4 Gd 2.91-2.93, 2 Y 2.92
Cu: 0.5000 0.8727 0.5401  3 Al 2.77-2.81, 4 Gd 2.91-2.93, 2 Y 2.92
Ni: 0.0000 0.2070 0.2070  6 Al 2.57

***

[10]
The following is a DFT calculation (PBE) of a relaxed structure of Ho2Al4NiIr.

Calculated values
**Total magnetization**: 0.00 μB/f.u.

a b c (Å): 7.0285 4.1099 10.1189
angles (deg): 90.00 90.00 90.00
Closest atoms and distances in Å follow each position.
Fractional positions:
Ho: 0.0000 0.0000 0.0000  3 Ir 2.85-3.02, 6 Al 3.12-3.16
Ho: 0.0000 0.5000 0.5000  3 Ir 2.85-3.02, 6 Al 3.12-3.16
Ho: 0.5000 0.0000 0.1284  3 Ni 2.81-3.05, 4 Al 3.08
Ho: 0.5000 0.5000 0.6284  3 Ni 2.81-3.05, 4 Al 3.08
Al: 0.2032 0.0000 0.7212  1 Ni 2.47, 2 Ir 2.58
Al: 0.2032 0.5000 0.2212  1 Ni 2.47, 2 Ir 2.58
Al: 0.3110 0.0000 0.4137  2 Ni 2.53, 1 Ir 2.56, 1 Al 2.66
Al: 0.3110 0.5000 0.9137  2 Ni 2.53, 1 Ir 2.56, 1 Al 2.66
Al: 0.6890 0.0000 0.4137  2 Ni 2.53, 1 Ir 2.56, 1 Al 2.66
Al: 0.6890 0.5000 0.9137  2 Ni 2.53, 1 Ir 2.56, 1 Al 2.66
Al: 0.7968 0.0000 0.7212  1 Ni 2.47, 2 Ir 2.58
Al: 0.7968 0.5000 0.2212  1 Ni 2.47, 2 Ir 2.58
Ni: 0.5000 0.0000 0.8511  6 Al 2.47-2.53
Ni: 0.5000 0.5000 0.3511  6 Al 2.47-2.53
Ir: 0.0000 0.0000 0.2819  6 Al 2.56-2.58, 1 Ho 2.85
Ir: 0.0000 0.5000 0.7819  6 Al 2.56-2.58, 1 Ho 2.85

***

[11]
The following is a DFT calculation (PBE) of a relaxed structure of LuGaB2.

Calculated values
**Total magnetization**: 0.01 μB/f.u.

a b c (Å): 6.0908 6.0908 6.0908
angles (deg): 90.00 90.00 90.00
Closest atoms and distances in Å follow each position.
Fractional positions:
Lu: 0.0000 0.0000 0.0000  4 B 2.64, 4 Ga 2.64
Lu: 0.0000 0.5000 0.5000  4 B 2.64, 4 Ga 2.64
Lu: 0.5000 0.0000 0.5000  4 B 2.64, 4 Ga 2.64
Lu: 0.5000 0.5000 0.0000  4 B 2.64, 4 Ga 2.64
Ga: 0.2500 0.2500 0.7500  4 Lu 2.64, 4 B 2.64
Ga: 0.2500 0.7500 0.2500  4 B 2.64, 4 Lu 2.64
Ga: 0.7500 0.2500 0.2500  4 B 2.64, 4 Lu 2.64
Ga: 0.7500 0.7500 0.7500  4 B 2.64, 4 Lu 2.64
B: 0.0000 0.0000 0.5000  4 Ga 2.64, 4 B 2.64
B: 0.0000 0.5000 0.0000  4 Ga 2.64, 4 B 2.64
B: 0.2500 0.2500 0.2500  4 B 2.64, 4 Lu 2.64
B: 0.2500 0.7500 0.7500  4 B 2.64, 4 Lu 2.64
B: 0.5000 0.0000 0.0000  4 Ga 2.64, 4 B 2.64
B: 0.5000 0.5000 0.5000  4 Ga 2.64, 4 B 2.64
B: 0.7500 0.2500 0.7500  4 B 2.64, 4 Lu 2.64
B: 0.7500 0.7500 0.2500  4 B 2.64, 4 Lu 2.64

***

[12]
The following is a DFT calculation (PBE) of a relaxed structure of KSmY.

Calculated values
**Polymorph energy (0 for the lowest one)**: 0 meV/atom
**Total magnetization**: 1.34 μB/f.u.

a b c (Å): 8.3670 8.3670 8.3670
angles (deg): 90.00 90.00 90.00
Closest atoms and distances in Å follow each position.
Fractional positions:
K: 0.0000 0.0000 0.0000  4 Y 3.62
K: 0.0000 0.5000 0.5000  4 Y 3.62
K: 0.5000 0.0000 0.5000  4 Y 3.62
K: 0.5000 0.5000 0.0000  4 Y 3.62
Sm: 0.0000 0.0000 0.5000  4 Y 3.62
Sm: 0.0000 0.5000 0.0000  4 Y 3.62
Sm: 0.5000 0.0000 0.0000  4 Y 3.62
Sm: 0.5000 0.5000 0.5000  4 Y 3.62
Y: 0.2500 0.2500 0.2500  4 K 3.62, 4 Sm 3.62
Y: 0.2500 0.7500 0.7500  4 K 3.62, 4 Sm 3.62
Y: 0.7500 0.2500 0.7500  4 K 3.62, 4 Sm 3.62
Y: 0.7500 0.7500 0.2500  4 K 3.62, 4 Sm 3.62

***

Number 1: electronic total energy -5.695 eV/atom. Number 2: electronic total energy -3.786 eV/atom. Number 3: electronic total energy -6.080 eV/atom. Number 4: electronic total energy -5.220 eV/atom. Number 5: electronic total energy -6.347 eV/atom. Number 6: electronic total energy -8.555 eV/atom. Number 7: electronic total energy -3.272 eV/atom. Number 8: electronic total energy -6.818 eV/atom. Number 9: electronic total energy -4.943 eV/atom. Number 10: electronic total energy -5.568 eV/atom. Number 11: electronic total energy -4.197 eV/atom. Number 12: electronic total energy -2.933 eV/atom.